# KLaHg2

An optimized crystal structure of KLaHg2 (GGA-PBEsol, Alexandria).

POSCAR file:
```
KLaHg2
1.0
3.624 0.000 0.000
0.000 5.479 0.000
-1.812 -2.739 5.858
La K Hg
1 1 2
Direct
0.283 0.783 0.566
0.483 0.483 0.966
0.015 0.015 0.031
0.719 0.219 0.437
```

Output
M_tot	0.00	μB/f.u.
density	8.3	g/cm³
D(E_F)	0.631	states/eV per atom
symmetry	Imm2 (44)

***

# KLaHg2

An optimized crystal structure of KLaHg2 (GGA-PBEsol, Alexandria).

POSCAR file:
```
KLaHg2
1.0
3.866 0.000 0.000
0.000 3.866 0.000
0.000 0.000 8.251
Hg K La
2 1 1
Direct
0.000 0.000 0.213
0.000 0.000 0.787
0.500 0.500 0.500
0.500 0.500 0.000
```

Output
M_tot	0.16	μB/f.u.
density	7.8	g/cm³
D(E_F)	0.876	states/eV per atom
symmetry	P4/mmm (123)

***

Number 1: energy of formation -224.3 meV per atom. Number 2: energy of formation -342.3 meV per atom.